No. 1
# Au2I4Cl3 (PBE, relaxed)
# Uncorrected formation energy: -93.5 meV/atom
# Density of states at the Fermi level: 0.187 states/eV per atom
data_Au2I4Cl3
_chemical_formula_sum 'Au8 I16 Cl12'
_symmetry_space_group_name_H-M 'C 1 2/c 1'
_symmetry_Int_Tables_number 15
_cell_length_a 13.5982
_cell_length_b 13.0379
_cell_length_c 9.0901
_cell_angle_alpha 90.00
_cell_angle_beta 104.73
_cell_angle_gamma 90.00
loop_
_symmetry_equiv_pos_as_xyz
'x,y,z'
'-x,-y,-z'
'-x,y,-z+1/2'
'x,-y,z+1/2'
'x+1/2,y+1/2,z'
'-x+1/2,-y+1/2,-z'
'-x+1/2,y+1/2,-z+1/2'
'x+1/2,-y+1/2,z+1/2'
loop_
_atom_site_label
_atom_site_fract_x
_atom_site_fract_y
_atom_site_fract_z
Au1 0.1909 0.1250 0.4434
I1 0.1179 0.3099 0.3747
I2 0.1811 0.0772 0.9346
Cl1 0.0000 0.0101 0.7500
Cl2 0.1539 0.3779 0.8973

---

No. 2
# AuI2Cl (PBE, relaxed)
# Uncorrected formation energy: -70.3 meV/atom
# Relative energy among the computed polymorphs: 0.0 meV per atom
data_AuI2Cl
_chemical_formula_sum 'Au4 I8 Cl4'
_symmetry_space_group_name_H-M 'C 1 2/c 1'
_symmetry_Int_Tables_number 15
_cell_length_a 5.5553
_cell_length_b 28.1556
_cell_length_c 4.6271
_cell_angle_alpha 90.00
_cell_angle_beta 93.26
_cell_angle_gamma 90.00
loop_
_symmetry_equiv_pos_as_xyz
'x,y,z'
'-x,-y,-z'
'-x,y,-z+1/2'
'x,-y,z+1/2'
'x+1/2,y+1/2,z'
'-x+1/2,-y+1/2,-z'
'-x+1/2,y+1/2,-z+1/2'
'x+1/2,-y+1/2,z+1/2'
loop_
_atom_site_label
_atom_site_fract_x
_atom_site_fract_y
_atom_site_fract_z
Au1 0.2500 0.2500 0.0000
I1 0.2456 0.0763 0.1586
Cl1 0.0000 0.2994 0.2500

---

Which of these has the highest uncorrected formation energy?
AuI2Cl

---

Which of these has the lowest uncorrected formation energy?
Au2I4Cl3